TaNb2Pd: relaxed, GGA-PBE.

## Properties
Space-group type: No. 122

a b c (Å): 10.4963 10.4963 10.4963
angles (deg): 158.89 158.89 30.03
Last column: nearest neighbours and their distance in Å.
Element x y z (fractional)
Ta  0.0000  0.0000  0.0000  4 Pd 2.72, 4 Nb 2.87
Ta  0.7500  0.2500  0.5000  4 Pd 2.72, 4 Nb 2.87
Nb  0.1177  0.6250  0.9927  4 Nb 2.68-2.76, 2 Ta 2.87, 2 Pd 2.89
Nb  0.3750  0.3677  0.4927  4 Nb 2.68-2.76, 2 Ta 2.87, 2 Pd 2.89
Nb  0.6323  0.1250  0.0073  4 Nb 2.68-2.76, 2 Ta 2.87, 2 Pd 2.89
Nb  0.8750  0.8823  0.5073  4 Nb 2.68-2.76, 2 Ta 2.87, 2 Pd 2.89
Pd  0.2500  0.7500  0.5000  4 Ta 2.72, 4 Nb 2.89
Pd  0.5000  0.5000  0.0000  4 Ta 2.72, 4 Nb 2.89



Ta3NbPd: relaxed, GGA-PBE.

## Properties
Space-group type: No. 148

a b c (Å): 5.6850 5.6850 5.6850
angles (deg): 88.64 88.64 88.64
Last column: nearest neighbours and their distance in Å.
Element x y z (fractional)
Ta  0.0947  0.7675  0.4393  2 Pd 2.68-2.84, 2 Nb 2.75-2.94, 3 Ta 2.92-2.99
Ta  0.2325  0.5607  0.9053  2 Pd 2.68-2.84, 2 Nb 2.75-2.94, 3 Ta 2.92-2.99
Ta  0.4393  0.0947  0.7675  2 Pd 2.68-2.84, 2 Nb 2.75-2.94, 3 Ta 2.92-2.99
Ta  0.5607  0.9053  0.2325  2 Pd 2.68-2.84, 2 Nb 2.75-2.94, 3 Ta 2.92-2.99
Ta  0.7675  0.4393  0.0947  2 Pd 2.68-2.84, 2 Nb 2.75-2.94, 3 Ta 2.92-2.99
Ta  0.9053  0.2325  0.5607  2 Pd 2.68-2.84, 2 Nb 2.75-2.94, 3 Ta 2.92-2.99
Nb  0.3692  0.3692  0.3692  1 Pd 2.52, 1 Nb 2.64, 3 Ta 2.75
Nb  0.6308  0.6308  0.6308  1 Pd 2.52, 1 Nb 2.64, 3 Ta 2.75
Pd  0.1192  0.1192  0.1192  1 Pd 2.40, 1 Nb 2.52, 3 Ta 2.68
Pd  0.8808  0.8808  0.8808  1 Pd 2.40, 1 Nb 2.52, 3 Ta 2.68



Ta2NbPd: relaxed, GGA-PBE.

## Properties
Space-group type: No. 160

a b c (Å): 9.9340 9.9340 9.9340
angles (deg): 16.73 16.73 16.73
Last column: nearest neighbours and their distance in Å.
Element x y z (fractional)
Ta  0.0000  0.0000  0.0000  3 Pd 2.85, 6 Ta 2.89, 3 Nb 3.08
Ta  0.1757  0.1757  0.1757  3 Pd 2.85, 6 Ta 2.89, 3 Nb 3.07
Nb  0.7546  0.7546  0.7546  6 Nb 2.89, 6 Ta 3.07-3.08
Pd  0.5878  0.5878  0.5878  6 Ta 2.85, 6 Pd 2.89



Number 1: energy relative to the elements 0.423 eV/atom. Number 2: energy relative to the elements 0.227 eV/atom. Number 3: energy relative to the elements 0.037 eV/atom.